Entry from Alexandria: BaTl2CoF6 after structural relaxation (PBE with a Hubbard U).

The structure in POSCAR format:
```
BaTl2CoF6
1.0
-3.465 4.880 1.203
-4.498 -1.957 -5.019
-4.766 -4.907 6.183
Ba Tl Co F
2 4 2 12
Direct
0.000 0.691 0.500
0.500 0.309 0.000
0.500 0.821 0.213
0.000 0.179 0.713
0.500 0.821 0.787
0.000 0.179 0.287
0.500 0.207 0.500
0.000 0.793 0.000
0.500 0.193 0.266
0.500 0.193 0.734
0.000 0.807 0.234
0.000 0.807 0.766
0.259 0.000 0.500
0.741 0.000 0.500
0.260 0.403 0.500
0.740 0.403 0.500
0.760 0.597 0.000
0.240 0.597 0.000
0.241 0.000 0.000
0.759 0.000 0.000
```

Results
Density of states at the Fermi level ... 0.0 states/eV per cell
Space group ... Pmmn, No. 59
Density ... 6.04 g/cm³
Energy ... -4.758 eV per atom